Record 1
{
  "formula": "BaNa5Tl",
  "functional": "PBE",
  "state": "optimized geometry",
  "e_form_ev_per_atom": 0.0200,
  "crystal_system": "tetragonal",
  "lattice": [[4.814, 0.000, 0.000], [0.000, 4.814, 0.000], [0.000, 0.000, 11.995]],
  "species": ["Ba", "Na", "Na", "Na", "Na", "Na", "Tl"],
  "frac_coords": [[0.000, 0.000, 0.000], [0.000, 0.000, 0.500], [0.000, 0.500, 0.284], [0.000, 0.500, 0.716], [0.500, 0.000, 0.284], [0.500, 0.000, 0.716], [0.500, 0.500, 0.500]]
}



Record 2
{
  "formula": "Ba3Na2Tl",
  "functional": "PBE",
  "state": "optimized geometry",
  "relative_energy_mev_per_atom": 20,
  "e_form_ev_per_atom": -0.1432,
  "crystal_system": "trigonal",
  "lattice": [[6.333, 0.000, 0.000], [-3.166, 5.484, 0.000], [0.000, 0.000, 15.523]],
  "species": ["Ba", "Ba", "Ba", "Ba", "Ba", "Ba", "Na", "Na", "Na", "Na", "Tl", "Tl"],
  "frac_coords": [[0.000, 0.000, 0.237], [0.000, 0.000, 0.763], [0.333, 0.667, 0.399], [0.333, 0.667, 0.916], [0.667, 0.333, 0.084], [0.667, 0.333, 0.601], [0.000, 0.000, 0.000], [0.000, 0.000, 0.500], [0.333, 0.667, 0.665], [0.667, 0.333, 0.335], [0.333, 0.667, 0.165], [0.667, 0.333, 0.835]]
}



Record 3
{
  "formula": "BaNa4Tl5",
  "functional": "PBE",
  "state": "optimized geometry",
  "e_form_ev_per_atom": -0.1560,
  "crystal_system": "tetragonal",
  "lattice": [[4.016, 0.000, 0.000], [0.000, 4.016, 0.000], [0.000, 0.000, 18.895]],
  "species": ["Ba", "Na", "Na", "Na", "Na", "Tl", "Tl", "Tl", "Tl", "Tl"],
  "frac_coords": [[0.000, 0.000, 0.000], [0.000, 0.000, 0.215], [0.000, 0.000, 0.404], [0.000, 0.000, 0.596], [0.000, 0.000, 0.785], [0.500, 0.500, 0.125], [0.500, 0.500, 0.309], [0.500, 0.500, 0.500], [0.500, 0.500, 0.691], [0.500, 0.500, 0.875]]
}



Record 4
{
  "formula": "BaNa5Tl7",
  "functional": "PBE",
  "state": "optimized geometry",
  "e_form_ev_per_atom": -0.1290,
  "crystal_system": "monoclinic",
  "lattice": [[6.378, -5.566, 0.000], [6.378, 5.566, 0.000], [-3.108, 0.000, 5.548]],
  "species": ["Ba", "Na", "Na", "Na", "Na", "Na", "Tl", "Tl", "Tl", "Tl", "Tl", "Tl", "Tl"],
  "frac_coords": [[0.000, 0.000, 0.000], [0.484, 0.987, 0.981], [0.484, 0.990, 0.490], [0.759, 0.759, 0.259], [0.987, 0.484, 0.981], [0.990, 0.484, 0.490], [0.195, 0.773, 0.480], [0.210, 0.210, 0.714], [0.339, 0.633, 0.985], [0.346, 0.346, 0.343], [0.629, 0.629, 0.630], [0.633, 0.339, 0.985], [0.773, 0.195, 0.480]]
}



| no. | VASP energy (eV per atom) |
| --- | --- |
| 1 | -1.5349 |
| 2 | -1.9387 |
| 3 | -2.0590 |
| 4 | -2.0583 |